Below is an optimized crystal structure of NaPr2Eu, with properties calculated at the GGA-PBE level.

extended XYZ file:
```
4
Lattice="3.615 0.000 0.000 0.000 3.615 0.000 0.000 0.000 11.298" Properties=species:S:1:pos:R:3 pbc="T T T"
Pr 0.000 0.000 2.869
Pr 0.000 0.000 8.429
Eu 1.808 1.808 5.649
Na 1.808 1.808 0.000
```

Computed properties:
- Raw total energy: -5.114 eV per atom